# 1
Here is IrPb3C after structural relaxation from Alexandria via LeMat-Bulk. Energies are from PBE.

Cell and atoms, written as POSCAR:
```
IrPb3C
1.0
5.2832 0.0000 0.0000
0.0000 5.2832 0.0000
0.0000 0.0000 5.2832
Pb C Ir
3 1 1
direct
0.0000 0.5000 0.0000
0.0000 0.0000 0.5000
0.5000 0.0000 0.0000
0.5000 0.5000 0.5000
0.0000 0.0000 0.0000
```

Values from the calculation:
relative energy among the computed polymorphs	0.89	eV per formula unit

---

# 2
Here is IrPb2C after structural relaxation from Alexandria via LeMat-Bulk. Energies are from PBE.

Cell and atoms, written as POSCAR:
```
IrPb2C
1.0
6.1033 0.0000 0.0000
0.0000 6.1033 0.0000
3.0517 3.0517 4.9800
Pb C Ir
4 2 2
direct
0.5760 0.1250 0.2500
0.1740 0.6250 0.2500
0.3750 0.4240 0.7500
0.8750 0.8260 0.7500
0.5000 0.5000 0.0000
0.2500 0.7500 0.5000
0.0000 0.0000 0.0000
0.7500 0.2500 0.5000
```

Values from the calculation:
total DFT energy (no corrections)	-5.11	eV/atom

---

# 3
Here is IrPbC3 after structural relaxation from Alexandria via LeMat-Bulk. Energies are from PBE.

Cell and atoms, written as POSCAR:
```
IrPbC3
1.0
4.3166 0.0000 0.0000
0.0000 4.3166 0.0000
0.0000 0.0000 4.3166
Pb C Ir
1 3 1
direct
0.0000 0.0000 0.0000
0.0000 0.5000 0.0000
0.0000 0.0000 0.5000
0.5000 0.0000 0.0000
0.5000 0.5000 0.5000
```

Values from the calculation:
relative energy among the computed polymorphs	9.56	eV per formula unit

---

# 4
Here is IrPb3C after structural relaxation from Alexandria via LeMat-Bulk. Energies are from PBE.

Cell and atoms, written as POSCAR:
```
IrPb3C
1.0
4.8292 0.0000 0.0000
0.0000 4.8292 0.0000
0.0000 0.0000 4.8292
Pb C Ir
3 1 1
direct
0.0000 0.5000 0.0000
0.0000 0.0000 0.5000
0.5000 0.0000 0.0000
0.0000 0.0000 0.0000
0.5000 0.5000 0.5000
```

Values from the calculation:
relative energy among the computed polymorphs	0.00	eV per formula unit

---

# 5
Here is IrPbC3 after structural relaxation from Alexandria via LeMat-Bulk. Energies are from PBE.

Cell and atoms, written as POSCAR:
```
IrPbC3
1.0
-0.3704 3.6495 -1.8295
1.0908 -1.6817 -3.5756
-3.9339 -0.8100 -0.8192
Pb C Ir
1 3 1
direct
0.5000 0.5000 0.5000
0.0000 0.5000 0.0000
0.0000 0.0000 0.5000
0.5000 0.0000 0.0000
0.0000 0.0000 0.0000
```

Values from the calculation:
relative energy among the computed polymorphs	0.00	eV per formula unit

---

# 6
Here is IrRuPb2C after structural relaxation from Alexandria via LeMat-Bulk. Energies are from PBE.

Cell and atoms, written as POSCAR:
```
IrRuPb2C
1.0
5.0882 0.0000 0.0000
0.0000 3.8423 0.0000
0.0000 0.0000 5.0882
Pb Ru C Ir
2 1 1 1
direct
0.0000 0.0000 0.5000
0.5000 0.0000 0.0000
0.5000 0.5000 0.5000
0.0000 0.0000 0.0000
0.0000 0.5000 0.0000
```

Values from the calculation:
total DFT energy (no corrections)	-5.91	eV/atom

---

# 7
Here is ScIr2PbC after structural relaxation from Alexandria via LeMat-Bulk. Energies are from PBE.

Cell and atoms, written as POSCAR:
```
ScIr2PbC
1.0
-1.8981 -4.4374 1.5075
2.5958 -2.0200 -2.6774
3.5193 -0.2756 3.6199
Pb Sc C Ir
1 1 1 2
direct
0.0000 0.0000 0.0000
0.5000 0.5000 0.5000
0.0000 0.5000 0.0000
0.0000 0.0000 0.5000
0.5000 0.0000 0.0000
```

Values from the calculation:
total DFT energy (no corrections)	-5.47	eV/atom

---

# 8
Here is Sc2IrPbC after structural relaxation from Alexandria via LeMat-Bulk. Energies are from PBE.

Cell and atoms, written as POSCAR:
```
Sc2IrPbC
1.0
-0.8545 4.4065 1.2974
-4.5446 -0.6191 -0.8907
-0.5748 -1.2258 3.7846
Pb Sc C Ir
1 2 1 1
direct
0.5000 0.5000 0.5000
0.0000 0.5000 0.0000
0.5000 0.0000 0.0000
0.0000 0.0000 0.0000
0.0000 0.0000 0.5000
```

Values from the calculation:
total DFT energy (no corrections)	-7.33	eV/atom

---

# 9
Here is SrIrPbC2 after structural relaxation from Alexandria via LeMat-Bulk. Energies are from PBE.

Cell and atoms, written as POSCAR:
```
SrIrPbC2
1.0
4.6665 0.0000 0.0000
0.0000 5.5954 0.0000
0.0000 0.0000 4.6665
Pb Sr C Ir
1 1 2 1
direct
0.5000 0.5000 0.5000
0.0000 0.0000 0.0000
0.0000 0.0000 0.5000
0.5000 0.0000 0.0000
0.0000 0.5000 0.0000
```

Values from the calculation:
total DFT energy (no corrections)	-3.67	eV/atom

---

# 10
Here is Th3IrPbC after structural relaxation from Alexandria via LeMat-Bulk. Energies are from PBE.

Cell and atoms, written as POSCAR:
```
Th3IrPbC
1.0
-0.3314 3.8576 0.5725
-7.8834 -1.3252 4.3662
7.5527 -0.1982 5.7066
Th Ir Pb C
6 2 2 2
direct
0.2500 0.7004 0.4487
0.7500 0.8671 0.1996
0.7500 0.4476 0.1275
0.7500 0.2996 0.5513
0.2500 0.5524 0.8725
0.2500 0.1329 0.8004
0.2500 0.0633 0.4305
0.7500 0.9367 0.5695
0.7500 0.7999 0.7899
0.2500 0.2001 0.2101
0.2500 0.6501 0.1637
0.7500 0.3499 0.8363
```

Values from the calculation:
total DFT energy (no corrections)	-7.80	eV/atom

---

# 11
Here is VIr2PbC after structural relaxation from Alexandria via LeMat-Bulk. Energies are from PBE.

Cell and atoms, written as POSCAR:
```
VIr2PbC
1.0
-4.7182 0.9733 1.2584
0.7437 -2.1701 4.4667
1.4097 4.3835 1.8949
Pb C Ir V
1 1 2 1
direct
0.0000 0.0000 0.0000
0.5000 0.5000 0.5000
0.0000 0.0000 0.5000
0.5000 0.0000 0.0000
0.0000 0.5000 0.0000
```

Values from the calculation:
total DFT energy (no corrections)	-4.47	eV/atom

---

# 12
Here is Y2IrPbC after structural relaxation from Alexandria via LeMat-Bulk. Energies are from PBE.

Cell and atoms, written as POSCAR:
```
Y2IrPbC
1.0
5.0971 0.0000 0.0000
0.0000 5.0971 0.0000
0.0000 0.0000 3.9828
Pb Y C Ir
1 2 1 1
direct
0.5000 0.5000 0.5000
0.0000 0.5000 0.0000
0.5000 0.0000 0.0000
0.0000 0.0000 0.0000
0.0000 0.0000 0.5000
```

Values from the calculation:
total DFT energy (no corrections)	-7.41	eV/atom

---

# 13
Here is IrPdC3 after structural relaxation from Alexandria via LeMat-Bulk. Energies are from PBE.

Cell and atoms, written as POSCAR:
```
IrPdC3
1.0
-0.4561 -2.3296 3.1901
3.9496 -0.2160 0.4070
-0.0651 3.2153 2.3387
C Ir Pd
3 1 1
direct
0.0000 0.5000 0.0000
0.0000 0.0000 0.5000
0.5000 0.0000 0.0000
0.0000 0.0000 0.0000
0.5000 0.5000 0.5000
```

Values from the calculation:
relative energy among the computed polymorphs	0.00	eV per formula unit

---

# 14
Here is IrPd3C after structural relaxation from Alexandria via LeMat-Bulk. Energies are from PBE.

Cell and atoms, written as POSCAR:
```
IrPd3C
1.0
4.8409 0.0000 0.0000
0.0000 4.8409 0.0000
0.0000 0.0000 4.8409
C Ir Pd
1 1 3
direct
0.5000 0.5000 0.5000
0.0000 0.0000 0.0000
0.0000 0.5000 0.0000
0.0000 0.0000 0.5000
0.5000 0.0000 0.0000
```

Values from the calculation:
relative energy among the computed polymorphs	9.03	eV per formula unit

---

# 15
Here is Ir2PdC after structural relaxation from Alexandria via LeMat-Bulk. Energies are from PBE.

Cell and atoms, written as POSCAR:
```
Ir2PdC
1.0
-3.4027 2.2455 4.9883
3.5059 -3.6143 4.0186
1.7543 1.2769 4.7820
C Ir Pd
2 4 2
direct
0.5000 0.5000 0.0000
0.2500 0.7500 0.5000
0.5282 0.1250 0.2500
0.2218 0.6250 0.2500
0.3750 0.4718 0.7500
0.8750 0.7782 0.7500
0.0000 0.0000 0.0000
0.7500 0.2500 0.5000
```

Values from the calculation:
total DFT energy (no corrections)	-7.57	eV/atom

---

# 16
Here is IrPd3C after structural relaxation from Alexandria via LeMat-Bulk. Energies are from PBE.

Cell and atoms, written as POSCAR:
```
IrPd3C
1.0
4.1235 0.0000 0.0000
0.0000 4.1235 0.0000
0.0000 0.0000 4.1235
C Ir Pd
1 1 3
direct
0.0000 0.0000 0.0000
0.5000 0.5000 0.5000
0.0000 0.5000 0.0000
0.0000 0.0000 0.5000
0.5000 0.0000 0.0000
```

Values from the calculation:
relative energy among the computed polymorphs	0.00	eV per formula unit

---

# 17
Here is IrPdC3 after structural relaxation from Alexandria via LeMat-Bulk. Energies are from PBE.

Cell and atoms, written as POSCAR:
```
IrPdC3
1.0
-1.9420 -2.5430 -2.3181
-0.5137 -2.4177 3.0826
-3.4024 1.8165 0.8577
C Ir Pd
3 1 1
direct
0.0000 0.5000 0.0000
0.0000 0.0000 0.5000
0.5000 0.0000 0.0000
0.5000 0.5000 0.5000
0.0000 0.0000 0.0000
```

Values from the calculation:
relative energy among the computed polymorphs	4.26	eV per formula unit

---

# 18
Here is Sc2IrPdC after structural relaxation from Alexandria via LeMat-Bulk. Energies are from PBE.

Cell and atoms, written as POSCAR:
```
Sc2IrPdC
1.0
-2.7602 3.6246 0.2535
-2.2247 -1.9376 3.4809
2.4323 1.6782 2.4887
Sc C Ir Pd
2 1 1 1
direct
0.0000 0.5000 0.0000
0.5000 0.0000 0.0000
0.0000 0.0000 0.0000
0.0000 0.0000 0.5000
0.5000 0.5000 0.5000
```

Values from the calculation:
total DFT energy (no corrections)	-7.85	eV/atom

---

# 19
Here is Te2IrPdC after structural relaxation from Alexandria via LeMat-Bulk. Energies are from PBE.

Cell and atoms, written as POSCAR:
```
Te2IrPdC
1.0
5.1514 0.0000 0.0000
0.0000 5.1514 0.0000
0.0000 0.0000 4.9946
C Ir Te Pd
1 1 2 1
direct
0.5000 0.5000 0.5000
0.0000 0.0000 0.0000
0.0000 0.5000 0.0000
0.5000 0.0000 0.0000
0.0000 0.0000 0.5000
```

Values from the calculation:
uncorrected formation energy	1.942	eV per atom

---

# 20
Here is Pm3IrC4 after structural relaxation from Alexandria via LeMat-Bulk. Energies are from PBE.

Cell and atoms, written as POSCAR:
```
Pm3IrC4
1.0
-1.1829 -1.6963 -3.1265
4.0617 -1.4758 -0.7360
-2.3956 -5.4503 6.1106
Pm Ir C
3 1 4
direct
0.3239 0.7912 0.6478
0.6761 0.2088 0.3522
0.5000 0.5000 0.0000
0.0000 0.0000 0.0000
0.8982 0.1747 0.7964
0.1018 0.8253 0.2036
0.8276 0.2820 0.6552
0.1724 0.7180 0.3448
```

Values from the calculation:
total DFT energy (no corrections)	-7.77	eV/atom

---

# 21
Here is Pm4IrC after structural relaxation from Alexandria via LeMat-Bulk. Energies are from PBE.

Cell and atoms, written as POSCAR:
```
Pm4IrC
1.0
-5.0808 4.7187 -3.1665
-1.6105 -7.4444 -0.3072
0.2244 1.8043 7.4028
Pm Ir C
8 2 2
direct
0.2323 0.9332 0.7009
0.7677 0.4569 0.6892
0.6832 0.4823 0.2009
0.2069 0.0177 0.1892
0.2814 0.4823 0.7991
0.8285 0.0177 0.8108
0.7677 0.0785 0.3108
0.2323 0.5314 0.2991
0.7457 0.7457 0.0000
0.4957 0.9957 0.5000
0.2543 0.2543 0.0000
0.0043 0.5043 0.5000
```

Values from the calculation:
total DFT energy (no corrections)	-6.40	eV/atom

---

# 22
Here is Pm2IrC after structural relaxation from Alexandria via LeMat-Bulk. Energies are from PBE.

Cell and atoms, written as POSCAR:
```
Pm2IrC
1.0
-1.2644 -3.3072 1.2773
3.6657 -1.1420 0.6697
-1.5430 4.7206 5.1816
Pm Ir C
2 1 1
direct
0.1276 0.1361 0.2559
0.8724 0.8812 0.7441
0.5000 0.5093 0.0000
0.5000 0.0094 0.0000
```

Values from the calculation:
total DFT energy (no corrections)	-7.24	eV/atom

---

# 23
Here is Pm6Ir3C after structural relaxation from Alexandria via LeMat-Bulk. Energies are from PBE.

Cell and atoms, written as POSCAR:
```
Pm6Ir3C
1.0
-5.5515 3.9743 -0.0886
0.0829 -0.0502 -7.4471
-5.5191 -8.3339 -0.0052
Pm Ir C
12 6 2
direct
0.3091 0.8336 0.9380
0.3374 0.8090 0.5752
0.3544 0.5518 0.2628
0.6456 0.4482 0.7372
0.6626 0.1910 0.4248
0.6909 0.1664 0.0620
0.8091 0.6664 0.4380
0.8374 0.6910 0.0752
0.8544 0.9482 0.7628
0.1456 0.0518 0.2372
0.1626 0.3090 0.9248
0.1909 0.3336 0.5620
0.4645 0.1041 0.7684
0.5000 0.5000 0.0000
0.5355 0.8959 0.2316
0.9645 0.3959 0.2684
0.0000 0.0000 0.5000
0.0355 0.6041 0.7316
0.5000 0.5000 0.5000
0.0000 0.0000 0.0000
```

Values from the calculation:
total DFT energy (no corrections)	-6.88	eV/atom

---

# 24
Here is Pm6IrC2 after structural relaxation from Alexandria via LeMat-Bulk. Energies are from PBE.

Cell and atoms, written as POSCAR:
```
Pm6IrC2
1.0
5.1207 0.0000 0.0000
2.5604 6.1445 -0.1354
2.5604 2.4315 7.5632
Pm Ir C
6 1 2
direct
0.7037 0.6930 0.8996
0.2963 0.3070 0.1004
0.9840 0.8388 0.1932
0.3466 0.7158 0.5910
0.0160 0.1612 0.8068
0.6534 0.2842 0.4090
0.0000 0.5000 0.5000
0.1898 0.7178 0.9027
0.8102 0.2822 0.0973
```

Values from the calculation:
total DFT energy (no corrections)	-6.37	eV/atom

---

# 25
Here is Pm6Ir2C after structural relaxation from Alexandria via LeMat-Bulk. Energies are from PBE.

Cell and atoms, written as POSCAR:
```
Pm6Ir2C
1.0
-4.4528 4.3627 -2.4138
-4.7079 -5.4824 -1.2242
-3.4077 0.9050 9.0521
Pm Ir C
12 4 2
direct
0.8717 0.9546 0.2568
0.8281 0.6941 0.5665
0.8113 0.6712 0.9414
0.6887 0.1712 0.5586
0.6719 0.1941 0.9335
0.6283 0.4546 0.2432
0.1283 0.0454 0.7432
0.1719 0.3059 0.4335
0.1887 0.3288 0.0586
0.3113 0.8288 0.4414
0.3281 0.8059 0.0665
0.3717 0.5454 0.7568
0.9583 0.4001 0.7594
0.5417 0.9001 0.7406
0.4583 0.0999 0.2594
0.0417 0.5999 0.2406
0.5000 0.5000 0.0000
0.0000 0.0000 0.5000
```

Values from the calculation:
total DFT energy (no corrections)	-6.59	eV/atom